Entry w
CrTc2: relaxed, PBE-GGA.

POSCAR file:
```
CrTc2
1.0
-0.070 1.483 -3.739
-3.216 -2.266 -0.839
-1.735 2.137 0.880
Tc Cr
2 1
Direct
0.500 0.000 0.500 Tc
0.000 0.500 0.500 Tc
0.000 0.000 0.000 Cr
```



Entry x
CrTc2: relaxed, PBE-GGA.

POSCAR file:
```
CrTc2
1.0
-0.434 -0.006 4.967
1.838 -1.706 4.309
3.880 4.367 2.115
Tc Cr
4 2
Direct
0.940 0.940 0.561 Tc
0.634 0.634 0.250 Tc
0.311 0.311 0.919 Tc
0.642 0.642 0.704 Tc
0.316 0.316 0.353 Cr
0.991 0.991 0.047 Cr
```



In terms of stability, entry x leads; the second structure lies 0.670 eV/atom higher.



Entry w
CrTc2: relaxed, PBE-GGA.

POSCAR file:
```
CrTc2
1.0
-1.929 4.183 -0.647
-4.484 0.672 1.040
4.182 -1.283 1.583
Tc Cr
2 1
Direct
0.336 0.336 0.000 Tc
0.664 0.664 0.000 Tc
0.000 0.000 0.000 Cr
```



Entry x
CrTc2: relaxed, PBE-GGA.

POSCAR file:
```
CrTc2
1.0
-2.827 -0.713 -0.681
2.746 -4.224 -0.390
-0.256 -1.467 2.597
Tc Cr
2 1
Direct
0.343 0.685 0.657 Tc
0.657 0.315 0.343 Tc
0.000 0.000 0.000 Cr
```



Entry y
CrTc2: relaxed, PBE-GGA.

POSCAR file:
```
CrTc2
1.0
5.084 0.000 0.000
2.542 4.403 0.000
0.000 0.000 8.242
Tc Cr
8 4
Direct
0.174 0.174 0.250 Tc
0.826 0.348 0.750 Tc
0.000 0.000 0.000 Tc
0.348 0.826 0.750 Tc
0.652 0.174 0.250 Tc
0.174 0.652 0.250 Tc
0.826 0.826 0.750 Tc
0.000 0.000 0.500 Tc
0.667 0.667 0.430 Cr
0.667 0.667 0.070 Cr
0.333 0.333 0.930 Cr
0.333 0.333 0.570 Cr
```



Entry z
CrTc2: relaxed, PBE-GGA.

POSCAR file:
```
CrTc2
1.0
3.411 2.583 -4.267
-3.937 -4.465 1.040
-2.884 2.335 -0.891
Cr Tc
2 4
Direct
0.081 0.919 0.250 Cr
0.919 0.081 0.750 Cr
0.248 0.752 0.750 Tc
0.419 0.581 0.250 Tc
0.752 0.248 0.250 Tc
0.581 0.419 0.750 Tc
```



In terms of stability, entry x leads; the second structure lies 0.048 eV/atom higher.



Entry w
CrTc2: relaxed, PBE-GGA.

POSCAR file:
```
CrTc2
1.0
-1.786 -0.763 -3.763
-0.606 -2.689 3.215
-4.305 2.747 1.486
Tc Cr
4 2
Direct
0.000 0.000 0.500 Tc
0.000 0.000 0.000 Tc
0.333 0.667 0.750 Tc
0.667 0.333 0.250 Tc
0.333 0.667 0.250 Cr
0.667 0.333 0.750 Cr
```



Entry x
CrTc2: relaxed, PBE-GGA.

POSCAR file:
```
CrTc2
1.0
-4.037 -2.604 -2.259
2.325 -3.337 -0.309
-2.371 -2.289 6.875
Cr Tc
4 8
Direct
0.318 0.750 0.411 Cr
0.182 0.250 0.911 Cr
0.818 0.750 0.089 Cr
0.682 0.250 0.589 Cr
0.331 0.750 0.071 Tc
0.669 0.250 0.929 Tc
0.831 0.750 0.429 Tc
0.527 0.250 0.272 Tc
0.473 0.750 0.728 Tc
0.169 0.250 0.571 Tc
0.973 0.750 0.772 Tc
0.027 0.250 0.228 Tc
```



In terms of stability, entry x leads; the second structure lies 0.063 eV/atom higher.



Entry w
CrTc2: relaxed, PBE-GGA.

POSCAR file:
```
CrTc2
1.0
2.618 0.000 0.000
0.000 3.975 0.000
0.000 0.000 17.563
Tc Cr
8 4
Direct
0.500 0.750 0.683 Tc
0.500 0.250 0.461 Tc
0.000 0.750 0.961 Tc
0.000 0.250 0.039 Tc
0.000 0.750 0.817 Tc
0.500 0.250 0.317 Tc
0.000 0.250 0.183 Tc
0.500 0.750 0.539 Tc
0.500 0.250 0.884 Cr
0.000 0.750 0.384 Cr
0.000 0.250 0.616 Cr
0.500 0.750 0.116 Cr
```



Entry x
CrTc2: relaxed, PBE-GGA.

POSCAR file:
```
CrTc2
1.0
-3.091 -4.676 -1.022
4.105 -3.215 2.297
-2.462 0.509 5.113
Tc Cr
8 4
Direct
0.631 0.869 0.131 Tc
0.369 0.131 0.869 Tc
0.369 0.369 0.369 Tc
0.869 0.369 0.131 Tc
0.631 0.631 0.631 Tc
0.131 0.631 0.869 Tc
0.131 0.869 0.369 Tc
0.869 0.131 0.631 Tc
0.500 0.000 0.500 Cr
0.000 0.500 0.500 Cr
0.500 0.500 0.000 Cr
0.000 0.000 0.000 Cr
```



In terms of stability, entry w leads; the second structure lies 0.314 eV/atom higher.



Entry w
CrTc2: relaxed, PBE-GGA.

POSCAR file:
```
CrTc2
1.0
2.930 0.000 0.000
1.465 4.859 0.000
0.000 1.748 5.782
Cr Tc
2 4
Direct
0.664 0.673 0.298 Cr
0.614 0.772 0.757 Cr
0.988 0.024 0.974 Tc
0.290 0.420 0.082 Tc
0.300 0.399 0.628 Tc
0.977 0.045 0.428 Tc
```



Entry x
CrTc2: relaxed, PBE-GGA.

POSCAR file:
```
CrTc2
1.0
-1.408 1.408 10.794
1.408 -1.408 10.794
1.408 1.408 -10.794
Tc Cr
4 2
Direct
0.176 0.676 0.500 Tc
0.426 0.426 0.000 Tc
0.574 0.574 0.000 Tc
0.324 0.824 0.500 Tc
0.000 0.000 0.000 Cr
0.750 0.250 0.500 Cr
```



Entry y
CrTc2: relaxed, PBE-GGA.

POSCAR file:
```
CrTc2
1.0
-5.895 1.540 0.242
3.189 -0.673 5.154
1.000 3.847 -0.116
Cr Tc
3 6
Direct
0.000 0.000 0.500 Cr
0.667 0.333 0.000 Cr
0.333 0.667 0.000 Cr
0.588 0.000 0.500 Tc
0.000 0.254 0.000 Tc
0.254 0.000 0.000 Tc
0.746 0.746 0.000 Tc
0.412 0.412 0.500 Tc
0.000 0.588 0.500 Tc
```



Entry z
CrTc2: relaxed, PBE-GGA.

POSCAR file:
```
CrTc2
1.0
-2.966 2.966 2.375
2.966 -2.966 2.375
2.966 2.966 -2.375
Tc Cr
4 2
Direct
0.152 0.348 0.500 Tc
0.652 0.152 0.805 Tc
0.848 0.652 0.500 Tc
0.348 0.848 0.195 Tc
0.250 0.250 0.000 Cr
0.750 0.750 0.000 Cr
```



In terms of stability, entry w leads; the second structure lies 0.030 eV/atom higher.



Entry w
Cr3TcTe: relaxed, PBE-GGA.

POSCAR file:
```
Cr3TcTe
1.0
4.730 0.000 0.000
0.000 4.730 0.000
0.000 0.000 4.730
Cr Tc Te
3 1 1
Direct
0.000 0.000 0.500 Cr
0.000 0.500 0.000 Cr
0.500 0.000 0.000 Cr
0.000 0.000 0.000 Tc
0.500 0.500 0.500 Te
```



Entry x
Cr3TcTe: relaxed, PBE-GGA.

POSCAR file:
```
Cr3TcTe
1.0
-2.120 -3.781 1.379
3.658 -1.161 2.441
-1.677 2.247 3.582
Cr Tc Te
3 1 1
Direct
0.000 0.500 0.000 Cr
0.000 0.000 0.500 Cr
0.500 0.000 0.000 Cr
0.500 0.500 0.500 Tc
0.000 0.000 0.000 Te
```



In terms of stability, entry w leads; the second structure lies 1.054 eV/atom higher.



Entry w
CrTcTe3: relaxed, PBE-GGA.

POSCAR file:
```
CrTcTe3
1.0
-1.614 -4.875 -0.621
4.904 -1.556 -0.530
0.313 -0.754 5.108
Te Tc Cr
3 1 1
Direct
0.500 0.000 0.000 Te
0.000 0.000 0.500 Te
0.000 0.500 0.000 Te
0.000 0.000 0.000 Tc
0.500 0.500 0.500 Cr
```



Entry x
CrTcTe3: relaxed, PBE-GGA.

POSCAR file:
```
CrTcTe3
1.0
-4.180 2.711 0.880
-0.618 -2.387 4.418
2.783 3.542 2.303
Te Tc Cr
3 1 1
Direct
0.000 0.500 0.000 Te
0.000 0.000 0.500 Te
0.500 0.000 0.000 Te
0.500 0.500 0.500 Tc
0.000 0.000 0.000 Cr
```



In terms of stability, entry x leads; the second structure lies 0.183 eV/atom higher.



Entry w
UCrTc2: relaxed, PBE-GGA.

POSCAR file:
```
UCrTc2
1.0
4.524 0.000 0.000
2.262 3.918 0.000
2.262 1.306 3.694
Tc U Cr
2 1 1
Direct
0.750 0.750 0.750 Tc
0.250 0.250 0.250 Tc
0.000 0.000 0.000 U
0.500 0.500 0.500 Cr
```



Entry x
UCrTc2: relaxed, PBE-GGA.

POSCAR file:
```
UCrTc2
1.0
-2.332 -0.941 1.544
1.573 0.189 2.490
-2.178 6.806 0.860
U Tc Cr
1 2 1
Direct
0.500 0.500 0.500 U
0.000 0.000 0.204 Tc
0.000 0.000 0.796 Tc
0.500 0.500 0.000 Cr
```



In terms of stability, entry x leads; the second structure lies 0.138 eV/atom higher.



Entry w
UCrTc2: relaxed, PBE-GGA.

POSCAR file:
```
UCrTc2
1.0
-2.649 0.231 -0.937
-1.639 -2.287 -0.171
-4.312 0.745 8.132
Tc Cr U
2 1 1
Direct
0.262 0.262 0.214 Tc
0.738 0.738 0.786 Tc
0.000 0.000 0.000 Cr
0.500 0.500 0.500 U
```



Entry x
UCrTc2: relaxed, PBE-GGA.

POSCAR file:
```
UCrTc2
1.0
3.261 0.000 0.000
0.000 4.483 0.000
0.000 0.000 4.483
Tc Cr U
2 1 1
Direct
0.000 0.500 0.000 Tc
0.000 0.000 0.500 Tc
0.500 0.000 0.000 Cr
0.500 0.500 0.500 U
```



In terms of stability, entry x leads; the second structure lies 0.205 eV/atom higher.



Entry w
UCrTc: relaxed, PBE-GGA.

POSCAR file:
```
UCrTc
1.0
2.806 0.000 0.000
-1.403 2.430 0.000
0.000 0.000 6.989
U Tc Cr
1 1 1
Direct
0.667 0.333 0.344 U
0.000 0.000 0.963 Tc
0.333 0.667 0.693 Cr
```



Entry x
UCrTc: relaxed, PBE-GGA.

POSCAR file:
```
UCrTc
1.0
3.629 0.000 0.000
0.000 3.629 0.000
-1.815 -1.815 3.861
Tc U Cr
1 1 1
Direct
0.977 0.977 0.954 Tc
0.292 0.292 0.583 U
0.581 0.581 0.163 Cr
```



In terms of stability, entry x leads; the second structure lies 0.097 eV/atom higher.



Entry w
VCr2Tc: relaxed, PBE-GGA.

POSCAR file:
```
VCr2Tc
1.0
6.631 0.000 0.000
0.000 6.631 0.000
3.315 3.315 2.492
Tc Cr V
2 4 2
Direct
0.750 0.250 0.500 Tc
0.000 0.000 0.000 Tc
0.875 0.878 0.750 Cr
0.375 0.372 0.750 Cr
0.122 0.625 0.250 Cr
0.628 0.125 0.250 Cr
0.250 0.750 0.500 V
0.500 0.500 0.000 V
```



Entry x
VCr2Tc: relaxed, PBE-GGA.

POSCAR file:
```
VCr2Tc
1.0
2.957 0.000 0.000
0.000 4.160 0.000
0.000 0.000 4.160
V Cr Tc
1 2 1
Direct
0.500 0.000 0.000 V
0.000 0.000 0.500 Cr
0.000 0.500 0.000 Cr
0.500 0.500 0.500 Tc
```



In terms of stability, entry x leads; the second structure lies 0.718 eV/atom higher.